Material: Tb2AgS
Method: DFT, GGA-PBE
State: optimized geometry

Cell lengths 3.8377, 3.8377, 7.8759 Å; angles 75.90, 75.90, 60.00 degrees
Positions (direct):
Tb 0.2599 0.2599 0.2204
Tb 0.0728 0.0728 0.7815
Ag 0.4993 0.4993 0.5020
S 0.6680 0.6680 0.9961

Output
energy relative to the elements, uncorrected = -1030.8 meV per atom
crystal system = trigonal
N(E_F) = 2.83 states/eV/cell
energy relative to the lowest polymorph listed for this composition = 107 meV per atom
symmetry = R3m (160)

=====

Material: Tb3Ag5S12
Method: DFT, GGA-PBE
State: optimized geometry

Cell lengths 13.2994, 13.2994, 13.2994 Å; angles 109.47, 109.47, 109.47 degrees
Positions (direct):
S 0.3321 0.5461 0.4120
S 0.4200 0.1341 0.5880
S 0.5800 0.8659 0.4120
S 0.1341 0.7141 0.5461
S 0.0800 0.1679 0.2141
S 0.4539 0.7859 0.8659
S 0.0461 0.4120 0.8321
S 0.5800 0.7141 0.6679
S 0.0880 0.9200 0.1341
S 0.6341 0.5880 0.9200
S 0.9539 0.5880 0.1679
S 0.1679 0.0880 0.9539
S 0.9200 0.0880 0.6341
S 0.5461 0.3321 0.9120
S 0.0880 0.1679 0.4539
S 0.7141 0.1341 0.0461
S 0.8321 0.9200 0.2859
S 0.5880 0.9539 0.6679
S 0.4120 0.0461 0.3321
S 0.6679 0.2141 0.5800
S 0.2859 0.4200 0.8321
S 0.5880 0.6341 0.4200
S 0.0800 0.9120 0.3659
S 0.4200 0.2859 0.3321
S 0.3321 0.7859 0.4200
S 0.2141 0.6679 0.0800
S 0.4539 0.6679 0.0880
S 0.7141 0.5800 0.1679
S 0.9120 0.0800 0.8659
S 0.8659 0.2859 0.4539
S 0.9200 0.8321 0.7859
S 0.5461 0.2141 0.1341
S 0.9120 0.8321 0.5461
S 0.8659 0.5800 0.9120
S 0.6341 0.0461 0.2141
S 0.9539 0.3659 0.2859
S 0.0461 0.6341 0.7141
S 0.3659 0.4120 0.0800
S 0.3659 0.9539 0.7859
S 0.4120 0.3659 0.5800
S 0.1341 0.4200 0.0880
S 0.7859 0.4539 0.3659
S 0.2141 0.5461 0.6341
S 0.2859 0.8659 0.9539
S 0.8321 0.9120 0.0461
S 0.1679 0.0800 0.7141
S 0.6679 0.4539 0.5880
S 0.7859 0.3321 0.9200
Tb 0.1250 0.8750 0.7500
Tb 0.1250 0.2500 0.8750
Tb 0.6250 0.3750 0.7500
Tb 0.3750 0.6250 0.2500
Tb 0.3750 0.7500 0.6250
Tb 0.7500 0.3750 0.1250
Tb 0.8750 0.1250 0.2500
Tb 0.7500 0.8750 0.6250
Tb 0.2500 0.1250 0.3750
Tb 0.2500 0.6250 0.8750
Tb 0.8750 0.7500 0.1250
Tb 0.6250 0.2500 0.3750
Ag 0.6250 0.7500 0.8750
Ag 0.7500 0.6250 0.3750
Ag 0.0000 0.0000 0.5000
Ag 0.3750 0.1250 0.7500
Ag 0.7500 0.1250 0.8750
Ag 0.8750 0.2500 0.6250
Ag 0.0000 0.5000 0.0000
Ag 0.0000 0.0000 0.0000
Ag 0.2500 0.8750 0.1250
Ag 0.3750 0.2500 0.1250
Ag 0.5000 0.0000 0.5000
Ag 0.0000 0.5000 0.5000
Ag 0.1250 0.7500 0.3750
Ag 0.5000 0.5000 0.0000
Ag 0.5000 0.0000 0.0000
Ag 0.1250 0.3750 0.2500
Ag 0.5000 0.5000 0.5000
Ag 0.2500 0.3750 0.6250
Ag 0.6250 0.8750 0.2500
Ag 0.8750 0.6250 0.7500

Output
energy relative to the elements, uncorrected = -523.0 meV per atom
crystal system = cubic
N(E_F) = 63.81 states/eV/cell
symmetry = Ia-3d (230)